VASP calculation (PBEsol) on a relaxed structure of MnCd2Se.

Unit cell a=4.747 b=4.747 c=4.747 alpha=60.00 beta=60.00 gamma=60.00
Positions (direct):
Mn1 0.000 0.000 0.000
Cd1 0.250 0.250 0.250
Cd2 0.500 0.500 0.500
Se1 0.750 0.750 0.750

Calculated values
For the total DFT energy (no corrections), the calculation gives -14.7 eV for the cell shown. The energy relative to the elements, uncorrected comes out at 0.318 eV/atom.